DFT (PBE) results for a relaxed structure of MgBe2Mo.

**Calculated formation energy**: 231 meV/atom
**Magnetization**: 0.000 μB per atom
**Crystal system**: orthorhombic
**Density**: 4.532 g cm⁻³
**Space-group type**: Imm2, No. 44

Cell: 5.053 5.053 5.053 Å, 148.72 130.28 59.92°
Atoms (fractional coordinates):
Mg 0.000 0.000 0.000
Be 0.252 0.752 0.500
Be 0.450 0.450 0.000
Mo 0.717 0.217 0.500